Entry 1:
DFT (PBE) results for CaHAuSeClF after structural relaxation.

The structure in CIF format:
```
data_CaHAuSeClF
_space_group_name_H-M_alt 'P 1'
_space_group_IT_number 1
_cell_length_a 4.582
_cell_length_b 5.935
_cell_length_c 6.415
_cell_angle_alpha 70.35
_cell_angle_beta 78.63
_cell_angle_gamma 82.16
loop_
_space_group_symop_operation_xyz
'x,y,z'
loop_
_atom_site_label
_atom_site_fract_x
_atom_site_fract_y
_atom_site_fract_z
Ca1 0.000 0.000 0.000
H1 0.917 0.382 0.034
Au1 0.889 0.606 0.808
Se1 0.867 0.991 0.501
Cl1 0.353 0.101 0.528
F1 0.488 0.979 0.039
```



Entry 2:
DFT (PBE) results for CaHAuSeClF after structural relaxation.

The structure in CIF format:
```
data_CaHAuSeClF
_space_group_name_H-M_alt 'P 1'
_space_group_IT_number 1
_cell_length_a 3.957
_cell_length_b 4.609
_cell_length_c 9.479
_cell_angle_alpha 92.20
_cell_angle_beta 101.19
_cell_angle_gamma 115.40
loop_
_space_group_symop_operation_xyz
'x,y,z'
loop_
_atom_site_label
_atom_site_fract_x
_atom_site_fract_y
_atom_site_fract_z
Ca1 0.000 0.000 0.000
H1 0.984 0.439 0.578
Au1 0.172 0.976 0.405
Se1 0.881 0.386 0.415
Cl1 0.213 0.554 0.863
F1 0.628 0.180 0.083
```



Entry 3:
DFT (PBE) results for CaHAuSeClF after structural relaxation.

The structure in CIF format:
```
data_CaHAuSeClF
_space_group_name_H-M_alt 'P 1'
_space_group_IT_number 1
_cell_length_a 3.977
_cell_length_b 4.544
_cell_length_c 8.499
_cell_angle_alpha 81.74
_cell_angle_beta 84.55
_cell_angle_gamma 64.82
loop_
_space_group_symop_operation_xyz
'x,y,z'
loop_
_atom_site_label
_atom_site_fract_x
_atom_site_fract_y
_atom_site_fract_z
Ca1 0.000 0.000 0.000
H1 0.881 0.734 0.605
Au1 0.671 0.460 0.518
Se1 0.123 0.915 0.624
Cl1 0.683 0.566 0.160
F1 0.419 0.197 0.920
```



Entry 4:
DFT (PBE) results for CaHAuSeClF after structural relaxation.

The structure in CIF format:
```
data_CaHAuSeClF
_space_group_name_H-M_alt 'P 1'
_space_group_IT_number 1
_cell_length_a 4.044
_cell_length_b 5.723
_cell_length_c 7.647
_cell_angle_alpha 109.08
_cell_angle_beta 104.09
_cell_angle_gamma 90.36
loop_
_space_group_symop_operation_xyz
'x,y,z'
loop_
_atom_site_label
_atom_site_fract_x
_atom_site_fract_y
_atom_site_fract_z
Ca1 0.000 0.000 0.000
H1 0.649 0.873 0.343
Au1 0.832 0.329 0.681
Se1 0.660 0.131 0.340
Cl1 0.003 0.507 0.018
F1 0.445 0.938 0.883
```



Entry 5:
DFT (PBE) results for CaHAuSeClF after structural relaxation.

The structure in CIF format:
```
data_CaHAuSeClF
_space_group_name_H-M_alt 'P 1'
_space_group_IT_number 1
_cell_length_a 4.439
_cell_length_b 4.517
_cell_length_c 7.712
_cell_angle_alpha 89.88
_cell_angle_beta 78.83
_cell_angle_gamma 89.79
loop_
_space_group_symop_operation_xyz
'x,y,z'
loop_
_atom_site_label
_atom_site_fract_x
_atom_site_fract_y
_atom_site_fract_z
Ca1 0.000 0.000 0.000
H1 0.846 0.502 0.746
Au1 0.523 0.004 0.623
Se1 0.715 0.503 0.579
Cl1 0.433 0.000 0.193
F1 0.993 0.500 0.948
```



Entry 6:
# CaAuICl2 PBE relaxed
data_CaAuICl2
_space_group_name_H-M_alt 'P 4/m m m'
_space_group_IT_number 123
_space_group_name_Hall '-P 4 2'
_cell_length_a 5.399
_cell_length_b 5.399
_cell_length_c 6.222
_cell_angle_alpha 90.00
_cell_angle_beta 90.00
_cell_angle_gamma 90.00
loop_
_atom_site_label
_atom_site_fract_x
_atom_site_fract_y
_atom_site_fract_z
Ca1 0.000 0.000 0.000
Au1 0.500 0.500 0.000
I1 0.000 0.000 0.500
Cl1 0.000 0.500 0.500
# uncorrected formation energy: -0.138 eV/atom



Entry 7:
# K2CaAu2Cl6 PBE relaxed
data_K2CaAu2Cl6
_space_group_name_H-M_alt 'C 1 2/m 1'
_space_group_IT_number 12
_cell_length_a 13.741
_cell_length_b 7.424
_cell_length_c 7.703
_cell_angle_alpha 90.00
_cell_angle_beta 122.83
_cell_angle_gamma 90.00
loop_
_space_group_symop_operation_xyz
'x,y,z'
'-x,-y,-z'
'-x,y,-z'
'x,-y,z'
'x+1/2,y+1/2,z'
'-x+1/2,-y+1/2,-z'
'-x+1/2,y+1/2,-z'
'x+1/2,-y+1/2,z'
loop_
_atom_site_label
_atom_site_fract_x
_atom_site_fract_y
_atom_site_fract_z
K1 0.237 0.000 0.196
Ca1 0.000 0.000 0.500
Au1 0.066 0.500 0.230
Cl1 0.073 0.249 0.809
Cl2 0.227 0.000 0.598
# uncorrected formation energy: -1.351 eV/atom



Entry 8:
# CaOsAuCl2 PBE relaxed
data_CaOsAuCl2
_space_group_name_H-M_alt 'P 4/m m m'
_space_group_IT_number 123
_space_group_name_Hall '-P 4 2'
_cell_length_a 4.737
_cell_length_b 4.737
_cell_length_c 5.296
_cell_angle_alpha 90.00
_cell_angle_beta 90.00
_cell_angle_gamma 90.00
loop_
_atom_site_label
_atom_site_fract_x
_atom_site_fract_y
_atom_site_fract_z
Ca1 0.000 0.000 0.000
Os1 0.500 0.500 0.500
Au1 0.500 0.500 0.000
Cl1 0.000 0.500 0.500
# uncorrected formation energy: -0.045 eV/atom



Entry 9:
# CaP2AuCl PBE relaxed
data_CaP2AuCl
_space_group_name_H-M_alt 'P 4/m m m'
_space_group_IT_number 123
_space_group_name_Hall '-P 4 2'
_cell_length_a 5.473
_cell_length_b 5.473
_cell_length_c 5.036
_cell_angle_alpha 90.00
_cell_angle_beta 90.00
_cell_angle_gamma 90.00
loop_
_atom_site_label
_atom_site_fract_x
_atom_site_fract_y
_atom_site_fract_z
Ca1 0.000 0.000 0.000
P1 0.000 0.500 0.000
Au1 0.500 0.500 0.500
Cl1 0.000 0.000 0.500
# uncorrected formation energy: 0.646 eV/atom



Entry 10:
# CaP2AuCl PBE relaxed
data_CaP2AuCl
_space_group_name_H-M_alt 'P 4/m m m'
_space_group_IT_number 123
_space_group_name_Hall '-P 4 2'
_cell_length_a 4.678
_cell_length_b 4.678
_cell_length_c 6.042
_cell_angle_alpha 90.00
_cell_angle_beta 90.00
_cell_angle_gamma 90.00
loop_
_atom_site_label
_atom_site_fract_x
_atom_site_fract_y
_atom_site_fract_z
Ca1 0.000 0.000 0.000
P1 0.000 0.500 0.500
Au1 0.500 0.500 0.500
Cl1 0.500 0.500 0.000
# uncorrected formation energy: -0.007 eV/atom



Entry 11:
# CaPb2AuCl PBE relaxed
data_CaPb2AuCl
_space_group_name_H-M_alt 'P 4/m m m'
_space_group_IT_number 123
_space_group_name_Hall '-P 4 2'
_cell_length_a 6.146
_cell_length_b 6.146
_cell_length_c 5.315
_cell_angle_alpha 90.00
_cell_angle_beta 90.00
_cell_angle_gamma 90.00
loop_
_atom_site_label
_atom_site_fract_x
_atom_site_fract_y
_atom_site_fract_z
Ca1 0.000 0.000 0.000
Pb1 0.000 0.500 0.000
Au1 0.000 0.000 0.500
Cl1 0.500 0.500 0.500
# uncorrected formation energy: 0.343 eV/atom



Entry 12:
# Ca2PbAuCl PBE relaxed
data_Ca2PbAuCl
_space_group_name_H-M_alt 'P 4/m m m'
_space_group_IT_number 123
_space_group_name_Hall '-P 4 2'
_cell_length_a 6.400
_cell_length_b 6.400
_cell_length_c 5.311
_cell_angle_alpha 90.00
_cell_angle_beta 90.00
_cell_angle_gamma 90.00
loop_
_atom_site_label
_atom_site_fract_x
_atom_site_fract_y
_atom_site_fract_z
Ca1 0.000 0.500 0.000
Pb1 0.000 0.000 0.000
Au1 0.000 0.000 0.500
Cl1 0.500 0.500 0.500
# uncorrected formation energy: -0.387 eV/atom



Entry 13:
# Ca2PdAuCl PBE relaxed
data_Ca2PdAuCl
_space_group_name_H-M_alt 'P 4/m m m'
_space_group_IT_number 123
_space_group_name_Hall '-P 4 2'
_cell_length_a 5.228
_cell_length_b 5.228
_cell_length_c 4.893
_cell_angle_alpha 90.00
_cell_angle_beta 90.00
_cell_angle_gamma 90.00
loop_
_atom_site_label
_atom_site_fract_x
_atom_site_fract_y
_atom_site_fract_z
Ca1 0.000 0.500 0.000
Pd1 0.000 0.000 0.500
Au1 0.500 0.500 0.500
Cl1 0.500 0.500 0.000
# uncorrected formation energy: -0.296 eV/atom



Entry 14:
# Rb2CaAu2Cl6 PBE relaxed
data_Rb2CaAu2Cl6
_space_group_name_H-M_alt 'C 1 2/m 1'
_space_group_IT_number 12
_cell_length_a 13.969
_cell_length_b 7.455
_cell_length_c 7.924
_cell_angle_alpha 90.00
_cell_angle_beta 123.19
_cell_angle_gamma 90.00
loop_
_space_group_symop_operation_xyz
'x,y,z'
'-x,-y,-z'
'-x,y,-z'
'x,-y,z'
'x+1/2,y+1/2,z'
'-x+1/2,-y+1/2,-z'
'-x+1/2,y+1/2,-z'
'x+1/2,-y+1/2,z'
loop_
_atom_site_label
_atom_site_fract_x
_atom_site_fract_y
_atom_site_fract_z
Rb1 0.235 0.000 0.205
Ca1 0.000 0.000 0.500
Au1 0.068 0.500 0.226
Cl1 0.063 0.248 0.799
Cl2 0.230 0.000 0.628
# uncorrected formation energy: -1.360 eV/atom



Entry 15:
# CaRu2AuCl PBE relaxed
data_CaRu2AuCl
_space_group_name_H-M_alt 'P 4/m m m'
_space_group_IT_number 123
_space_group_name_Hall '-P 4 2'
_cell_length_a 4.959
_cell_length_b 4.959
_cell_length_c 5.769
_cell_angle_alpha 90.00
_cell_angle_beta 90.00
_cell_angle_gamma 90.00
loop_
_atom_site_label
_atom_site_fract_x
_atom_site_fract_y
_atom_site_fract_z
Ca1 0.000 0.000 0.000
Ru1 0.000 0.500 0.500
Au1 0.000 0.000 0.500
Cl1 0.500 0.500 0.000
# uncorrected formation energy: 0.960 eV/atom



Entry 16:
# CaAuSCl2 PBE relaxed
data_CaAuSCl2
_space_group_name_H-M_alt 'P 4/m m m'
_space_group_IT_number 123
_space_group_name_Hall '-P 4 2'
_cell_length_a 5.181
_cell_length_b 5.181
_cell_length_c 5.641
_cell_angle_alpha 90.00
_cell_angle_beta 90.00
_cell_angle_gamma 90.00
loop_
_atom_site_label
_atom_site_fract_x
_atom_site_fract_y
_atom_site_fract_z
Ca1 0.000 0.000 0.000
Au1 0.500 0.500 0.500
S1 0.000 0.000 0.500
Cl1 0.000 0.500 0.000
# uncorrected formation energy: -0.452 eV/atom



Entry 17:
# CaAuSCl2 PBE relaxed
data_CaAuSCl2
_space_group_name_H-M_alt 'P 4/m m m'
_space_group_IT_number 123
_space_group_name_Hall '-P 4 2'
_cell_length_a 4.978
_cell_length_b 4.978
_cell_length_c 5.060
_cell_angle_alpha 90.00
_cell_angle_beta 90.00
_cell_angle_gamma 90.00
loop_
_atom_site_label
_atom_site_fract_x
_atom_site_fract_y
_atom_site_fract_z
Ca1 0.000 0.000 0.000
Au1 0.500 0.500 0.500
S1 0.500 0.500 0.000
Cl1 0.000 0.500 0.500
# uncorrected formation energy: -0.732 eV/atom



Entry 18:
# CaSbAu2Cl PBE relaxed
data_CaSbAu2Cl
_space_group_name_H-M_alt 'P 4/m m m'
_space_group_IT_number 123
_space_group_name_Hall '-P 4 2'
_cell_length_a 5.345
_cell_length_b 5.345
_cell_length_c 6.279
_cell_angle_alpha 90.00
_cell_angle_beta 90.00
_cell_angle_gamma 90.00
loop_
_atom_site_label
_atom_site_fract_x
_atom_site_fract_y
_atom_site_fract_z
Ca1 0.000 0.000 0.000
Sb1 0.000 0.000 0.500
Au1 0.000 0.500 0.000
Cl1 0.500 0.500 0.500
# uncorrected formation energy: 0.543 eV/atom



Entry 19:
# CaTl2AuCl PBE relaxed
data_CaTl2AuCl
_space_group_name_H-M_alt 'C 1 m 1'
_space_group_IT_number 8
_cell_length_a 12.497
_cell_length_b 3.776
_cell_length_c 6.910
_cell_angle_alpha 90.00
_cell_angle_beta 114.61
_cell_angle_gamma 90.00
loop_
_space_group_symop_operation_xyz
'x,y,z'
'x,-y,z'
'x+1/2,y+1/2,z'
'x+1/2,-y+1/2,z'
loop_
_atom_site_label
_atom_site_fract_x
_atom_site_fract_y
_atom_site_fract_z
Ca1 0.000 0.000 0.000
Tl1 0.145 0.000 0.596
Tl2 0.313 0.000 0.137
Au1 0.182 0.500 0.289
Cl1 0.428 0.000 0.697
# uncorrected formation energy: -0.668 eV/atom



Entry 20:
# CaTl2AuCl PBE relaxed
data_CaTl2AuCl
_space_group_name_H-M_alt 'C 1 m 1'
_space_group_IT_number 8
_cell_length_a 4.943
_cell_length_b 4.943
_cell_length_c 11.488
_cell_angle_alpha 90.00
_cell_angle_beta 101.95
_cell_angle_gamma 90.00
loop_
_space_group_symop_operation_xyz
'x,y,z'
'x,-y,z'
'x+1/2,y+1/2,z'
'x+1/2,-y+1/2,z'
loop_
_atom_site_label
_atom_site_fract_x
_atom_site_fract_y
_atom_site_fract_z
Ca1 0.000 0.000 0.000
Tl1 0.229 0.000 0.432
Tl2 0.336 0.500 0.657
Au1 0.417 0.000 0.827
Cl1 0.065 0.500 0.135
# uncorrected formation energy: -0.769 eV/atom



| no. | electronic total energy (eV/atom) |
| --- | --- |
| 1 | -3.752 |
| 2 | -4.075 |
| 3 | -4.072 |
| 4 | -4.039 |
| 5 | -4.023 |
| 6 | -2.242 |
| 7 | -3.336 |
| 8 | -4.086 |
| 9 | -2.943 |
| 10 | -3.597 |
| 11 | -2.565 |
| 12 | -2.954 |
| 13 | -3.160 |
| 14 | -3.321 |
| 15 | -4.176 |
| 16 | -3.072 |
| 17 | -3.352 |
| 18 | -2.362 |
| 19 | -3.039 |
| 20 | -3.141 |